Computed, not measured: a relaxed ZrCu2Cl crystal at the PBE level of DFT.

Relative energy among the computed polymorphs ... 0 meV per atom
Space-group type ... Pm, No. 6
Final energy ... -4.96 eV per atom
Calculated density ... 5.67 g/cm³
Energy relative to the elements, uncorrected ... -316 meV/atom

POSCAR file:
```
ZrCu2Cl
1.0
-2.4002 0.0773 2.2535
-1.5213 -2.2458 -1.5434
3.4646 -5.0289 3.8626
Zr Cu Cl
1 2 1
Direct
0.0000 0.7496 0.4570 Zr
0.5000 0.2510 0.2327 Cu
0.0000 0.7519 0.0782 Cu
0.5000 0.7474 0.7321 Cl
```


Computed, not measured: a relaxed ZrCu2Cl crystal at the PBE level of DFT.

Relative energy among the computed polymorphs ... 329 meV per atom
Space-group type ... R-3m, No. 166
Final energy ... -4.63 eV per atom
Calculated density ... 5.89 g/cm³
Energy relative to the elements, uncorrected ... 13 meV/atom

POSCAR file:
```
ZrCu2Cl
1.0
8.1550 0.0455 0.0270
7.4993 3.2042 0.0270
7.4993 1.5568 2.8007
Cu Zr Cl
2 1 1
Direct
0.4946 0.4946 0.4946 Cu
0.0054 0.0054 0.0054 Cu
0.2500 0.2500 0.2500 Zr
0.7500 0.7500 0.7500 Cl
```


Computed, not measured: a relaxed ZrCu2Cl crystal at the PBE level of DFT.

Relative energy among the computed polymorphs ... 345 meV per atom
Space-group type ... I-4m2, No. 119
Final energy ... -4.62 eV per atom
Calculated density ... 6.56 g/cm³
Energy relative to the elements, uncorrected ... 29 meV/atom

POSCAR file:
```
ZrCu2Cl
1.0
-0.7680 3.7482 -2.3674
-1.5454 -2.4635 -3.4331
-1.7764 -0.4821 4.1055
Cl Zr Cu
1 1 2
Direct
0.7500 0.2500 0.5000 Cl
0.5000 0.5000 0.0000 Zr
0.0000 0.0000 0.0000 Cu
0.2500 0.7500 0.5000 Cu
```


Computed, not measured: a relaxed ZrCu2Cl crystal at the PBE level of DFT.

Relative energy among the computed polymorphs ... 263 meV per atom
Space-group type ... Cmmm, No. 65
Final energy ... -4.70 eV per atom
Calculated density ... 6.04 g/cm³
Energy relative to the elements, uncorrected ... -53 meV/atom

POSCAR file:
```
ZrCu2Cl
1.0
-2.1647 0.3954 5.3947
-3.6697 -0.2790 -3.7447
-1.2321 -2.3971 1.3883
Cu Zr Cl
2 1 1
Direct
0.5000 0.0000 0.5000 Cu
0.0000 0.0000 0.0000 Cu
0.0000 0.5000 0.5000 Zr
0.5000 0.5000 0.0000 Cl
```


Computed, not measured: a relaxed ZrCu2Cl crystal at the PBE level of DFT.

Relative energy among the computed polymorphs ... 322 meV per atom
Space-group type ... P4/mmm, No. 123
Final energy ... -4.64 eV per atom
Calculated density ... 6.42 g/cm³
Energy relative to the elements, uncorrected ... 6 meV/atom

POSCAR file:
```
ZrCu2Cl
1.0
4.8988 0.0000 0.0000
0.0000 3.6592 0.0000
0.0000 0.0000 3.6592
Cl Cu Zr
1 2 1
Direct
0.5000 0.0000 0.5000 Cl
0.0000 0.0000 0.0000 Cu
0.0000 0.5000 0.5000 Cu
0.5000 0.5000 0.0000 Zr
```


Computed, not measured: a relaxed ZrCu2Cl crystal at the PBE level of DFT.

Relative energy among the computed polymorphs ... 356 meV per atom
Space-group type ... Imm2, No. 44
Final energy ... -4.61 eV per atom
Calculated density ... 6.33 g/cm³
Energy relative to the elements, uncorrected ... 40 meV/atom

POSCAR file:
```
ZrCu2Cl
1.0
-1.0546 -2.8821 -3.9717
4.2433 -1.9952 -1.7907
-2.5973 0.1144 4.2935
Cu Zr Cl
2 1 1
Direct
0.9877 0.9877 0.0000 Cu
0.7688 0.2688 0.5000 Cu
0.4999 0.4999 0.0000 Zr
0.2436 0.7436 0.5000 Cl
```


Computed, not measured: a relaxed DyCl4 crystal at the PBE level of DFT.

Space-group type ... Pm-3m, No. 221
Final energy ... -3.89 eV per atom
Calculated density ... 3.40 g/cm³
Energy relative to the elements, uncorrected ... -1496 meV/atom

POSCAR file:
```
DyCl4
1.0
-1.7173 -2.4149 4.3887
-3.0417 -3.1835 -2.9419
3.9800 -3.4749 -0.3547
Dy Cl
1 4
Direct
0.5000 0.5000 0.5000 Dy
0.5000 0.5000 0.0000 Cl
0.0000 0.0000 0.0000 Cl
0.0000 0.5000 0.5000 Cl
0.5000 0.0000 0.5000 Cl
```


Computed, not measured: a relaxed Dy2Cl3 crystal at the PBE level of DFT.

Space-group type ... R-3c, No. 167
Final energy ... -4.42 eV per atom
Calculated density ... 5.71 g/cm³
Energy relative to the elements, uncorrected ... -1475 meV/atom

POSCAR file:
```
Dy2Cl3
1.0
-4.1057 1.7494 -4.2995
1.6124 0.0549 -5.9833
-3.1518 -6.5435 -4.1186
Cl Dy
6 4
Direct
0.5785 0.9215 0.2500 Cl
0.2500 0.5785 0.2500 Cl
0.7500 0.4215 0.7500 Cl
0.0785 0.7500 0.7500 Cl
0.9215 0.2500 0.2500 Cl
0.4215 0.0785 0.7500 Cl
0.3329 0.3329 0.0013 Dy
0.8329 0.8329 0.5013 Dy
0.6671 0.6671 0.9987 Dy
0.1671 0.1671 0.4987 Dy
```


Computed, not measured: a relaxed DyCl3 crystal at the PBE level of DFT.

Space-group type ... Cmcm, No. 63
Final energy ... -4.79 eV per atom
Calculated density ... 3.97 g/cm³
Energy relative to the elements, uncorrected ... -2254 meV/atom

POSCAR file:
```
DyCl3
1.0
-6.0816 3.7602 -0.3338
4.8742 -4.1156 -3.2464
-4.4484 -6.9998 2.1950
Cl Dy
6 2
Direct
0.3928 0.6072 0.7500 Cl
0.8379 0.1621 0.4311 Cl
0.1621 0.8379 0.5689 Cl
0.6072 0.3928 0.2500 Cl
0.8379 0.1621 0.0689 Cl
0.1621 0.8379 0.9311 Cl
0.7583 0.2417 0.7500 Dy
0.2417 0.7583 0.2500 Dy
```


Computed, not measured: a relaxed DyCl2 crystal at the PBE level of DFT.

Space-group type ... Pbca, No. 61
Final energy ... -4.57 eV per atom
Calculated density ... 5.47 g/cm³
Energy relative to the elements, uncorrected ... -1803 meV/atom

POSCAR file:
```
DyCl2
1.0
-2.2897 -1.3501 -5.7497
6.5538 -2.1591 -2.1029
-2.5987 -11.5339 3.7431
Dy Cl
8 16
Direct
0.8159 0.4528 0.0977 Dy
0.8159 0.9528 0.4023 Dy
0.3159 0.5472 0.4023 Dy
0.1841 0.0472 0.5977 Dy
0.3159 0.0472 0.0977 Dy
0.1841 0.5472 0.9023 Dy
0.6841 0.9528 0.9023 Dy
0.6841 0.4528 0.5977 Dy
0.0196 0.7076 0.5444 Cl
0.6884 0.6230 0.2929 Cl
0.3116 0.8770 0.7929 Cl
0.9804 0.2924 0.4556 Cl
0.5196 0.2924 0.9556 Cl
0.8116 0.1230 0.7071 Cl
0.8116 0.6230 0.7929 Cl
0.0196 0.2076 0.9556 Cl
0.6884 0.1230 0.2071 Cl
0.5196 0.7924 0.5444 Cl
0.4804 0.2076 0.4556 Cl
0.4804 0.7076 0.0444 Cl
0.1884 0.8770 0.2929 Cl
0.1884 0.3770 0.2071 Cl
0.3116 0.3770 0.7071 Cl
0.9804 0.7924 0.0444 Cl
```


Computed, not measured: a relaxed DyCl2 crystal at the PBE level of DFT.

Space-group type ... C2/m, No. 12
Final energy ... -4.68 eV per atom
Calculated density ... 4.53 g/cm³
Energy relative to the elements, uncorrected ... -1915 meV/atom

POSCAR file:
```
DyCl2
1.0
3.7233 -0.0005 -0.0010
1.8612 3.2242 -0.0043
1.8582 -1.0770 7.1208
Dy Cl
1 2
Direct
0.5279 0.9776 0.9922 Dy
0.0368 0.7239 0.2285 Cl
0.0189 0.2313 0.7559 Cl
```


Computed, not measured: a relaxed DyErCl crystal at the PBE level of DFT.

Relative energy among the computed polymorphs ... 22 meV per atom
Space-group type ... P2_1/m, No. 11
Final energy ... -4.54 eV per atom
Calculated density ... 6.84 g/cm³
Energy relative to the elements, uncorrected ... -871 meV/atom

POSCAR file:
```
DyErCl
1.0
3.4852 -0.0777 0.1406
0.0646 3.4740 0.3186
-0.6111 -1.3979 14.4935
Dy Cl Er
2 2 2
Direct
0.2497 0.2571 0.7657 Dy
0.7503 0.7429 0.2343 Dy
0.2505 0.2410 0.1256 Cl
0.7495 0.7590 0.8744 Cl
0.7499 0.7527 0.5880 Er
0.2501 0.2473 0.4120 Er
```


Computed, not measured: a relaxed Dy3ErCl crystal at the PBE level of DFT.

Space-group type ... Pm-3m, No. 221
Final energy ... -4.48 eV per atom
Calculated density ... 7.87 g/cm³
Energy relative to the elements, uncorrected ... -437 meV/atom

POSCAR file:
```
Dy3ErCl
1.0
5.2610 0.0000 0.0000
0.0000 5.2610 0.0000
0.0000 0.0000 5.2610
Dy Er Cl
3 1 1
Direct
0.5000 0.0000 0.0000 Dy
0.0000 0.0000 0.5000 Dy
0.0000 0.5000 0.0000 Dy
0.5000 0.5000 0.5000 Er
0.0000 0.0000 0.0000 Cl
```


Computed, not measured: a relaxed DyErCl crystal at the PBE level of DFT.

Relative energy among the computed polymorphs ... 0 meV per atom
Space-group type ... P3m1, No. 156
Final energy ... -4.56 eV per atom
Calculated density ... 7.58 g/cm³
Energy relative to the elements, uncorrected ... -893 meV/atom

POSCAR file:
```
DyErCl
1.0
3.6463 0.0000 0.0000
-1.8232 3.1578 0.0000
0.0000 0.0000 6.9483
Dy Cl Er
1 1 1
Direct
0.3333 0.6667 0.6447 Dy
0.6667 0.3333 0.3320 Cl
0.0000 0.0000 0.0233 Er
```


Computed, not measured: a relaxed DyErCl6 crystal at the PBE level of DFT.

Space-group type ... R-3, No. 148
Final energy ... -4.78 eV per atom
Calculated density ... 3.80 g/cm³
Energy relative to the elements, uncorrected ... -2251 meV/atom

POSCAR file:
```
DyErCl6
1.0
-0.4091 4.8478 -4.6224
2.5071 -1.0008 -6.1446
-4.6595 -0.9141 -5.4192
Dy Cl Er
1 6 1
Direct
0.0000 0.0000 0.0000 Dy
0.2515 0.8930 0.2512 Cl
0.8929 0.6043 0.2513 Cl
0.7485 0.1070 0.7488 Cl
0.3958 0.7484 0.7487 Cl
0.1071 0.3957 0.7487 Cl
0.6042 0.2516 0.2513 Cl
0.5000 0.5000 0.5000 Er
```


Computed, not measured: a relaxed Eu2DyCl crystal at the PBE level of DFT.

Space-group type ... R-3m, No. 166
Final energy ... -7.52 eV per atom
Calculated density ... 6.41 g/cm³
Energy relative to the elements, uncorrected ... -768 meV/atom

POSCAR file:
```
Eu2DyCl
1.0
3.7927 0.0000 0.0000
1.8963 3.2845 0.0000
1.8963 1.0948 10.4437
Cl Eu Dy
1 2 1
Direct
0.0000 0.0000 0.0000 Cl
0.2633 0.2633 0.2102 Eu
0.7367 0.7367 0.7898 Eu
0.5000 0.5000 0.5000 Dy
```


Computed, not measured: a relaxed EuDy2Cl crystal at the PBE level of DFT.

Space-group type ... R-3m, No. 166
Final energy ... -5.72 eV per atom
Calculated density ... 7.13 g/cm³
Energy relative to the elements, uncorrected ... -387 meV/atom

POSCAR file:
```
EuDy2Cl
1.0
-2.4478 0.2914 2.4871
-3.3917 -0.0190 -0.8707
-2.1650 -11.0961 1.6345
Dy Cl Eu
2 1 1
Direct
0.8983 0.8983 0.3051 Dy
0.1017 0.1017 0.6949 Dy
0.5000 0.5000 0.5000 Cl
0.0000 0.0000 0.0000 Eu
```


Computed, not measured: a relaxed DyCl2F crystal at the PBE level of DFT.

Relative energy among the computed polymorphs ... 25 meV per atom
Space-group type ... Cmcm, No. 63
Final energy ... -5.42 eV per atom
Calculated density ... 4.22 g/cm³
Energy relative to the elements, uncorrected ... -2876 meV/atom

POSCAR file:
```
DyCl2F
1.0
3.6686 0.0017 0.0000
-1.8306 6.6040 0.0000
0.0000 0.0000 8.2065
Cl F Dy
4 2 2
Direct
0.8536 0.7081 0.0565 Cl
0.1464 0.2919 0.5565 Cl
0.1464 0.2919 0.9435 Cl
0.8536 0.7081 0.4435 Cl
0.6551 0.3096 0.2500 F
0.3449 0.6904 0.7500 F
0.7563 0.5126 0.7500 Dy
0.2437 0.4874 0.2500 Dy
```


Computed, not measured: a relaxed DyCl6F2 crystal at the PBE level of DFT.

Space-group type ... P-1, No. 2
Final energy ... -3.60 eV per atom
Calculated density ... 2.57 g/cm³
Energy relative to the elements, uncorrected ... -1438 meV/atom

POSCAR file:
```
DyCl6F2
1.0
-1.6363 -2.9811 -0.8253
6.1149 -2.6275 4.4220
-7.1653 4.0893 6.5943
Cl F Dy
6 2 1
Direct
0.0604 0.8174 0.3069 Cl
0.0444 0.4321 0.6664 Cl
0.1901 0.1244 0.2748 Cl
0.9396 0.1826 0.6931 Cl
0.8099 0.8756 0.7252 Cl
0.9556 0.5679 0.3336 Cl
0.5822 0.1708 0.0018 F
0.4178 0.8292 0.9982 F
0.0000 0.0000 0.0000 Dy
```


Computed, not measured: a relaxed DyCl2F4 crystal at the PBE level of DFT.

Space-group type ... P-1, No. 2
Final energy ... -4.42 eV per atom
Calculated density ... 4.07 g/cm³
Energy relative to the elements, uncorrected ... -2169 meV/atom

POSCAR file:
```
DyCl2F4
1.0
3.7232 -0.2959 -0.4490
-0.6333 3.2828 -1.7158
0.4100 -0.3505 10.6135
F Cl Dy
4 2 1
Direct
0.4313 0.7915 0.8589 F
0.5687 0.2085 0.1411 F
0.9315 0.2914 0.8588 F
0.0685 0.7086 0.1412 F
0.7500 0.7499 0.4999 Cl
0.2500 0.2501 0.5001 Cl
0.0000 0.0000 0.0000 Dy
```


Computed, not measured: a relaxed DyCl2F crystal at the PBE level of DFT.

Relative energy among the computed polymorphs ... 0 meV per atom
Space-group type ... Immm, No. 71
Final energy ... -5.44 eV per atom
Calculated density ... 3.69 g/cm³
Energy relative to the elements, uncorrected ... -2901 meV/atom

POSCAR file:
```
DyCl2F
1.0
-0.9309 0.3940 -3.8577
2.9167 -3.0772 -1.0166
-5.6050 -3.2364 3.0751
Cl Dy F
2 1 1
Direct
0.1354 0.1452 0.2718 Cl
0.8647 0.8727 0.7284 Cl
0.5000 0.0092 0.0001 Dy
0.4999 0.5090 0.9998 F
```


Computed, not measured: a relaxed DyClF crystal at the PBE level of DFT.

Relative energy among the computed polymorphs ... 154 meV per atom
Space-group type ... P2_1/m, No. 11
Final energy ... -5.25 eV per atom
Calculated density ... 5.51 g/cm³
Energy relative to the elements, uncorrected ... -2479 meV/atom

POSCAR file:
```
DyClF
1.0
4.4542 0.0000 0.1485
0.0000 4.4597 0.0000
-0.9596 0.0000 6.5453
Cl Dy F
2 2 2
Direct
0.2058 0.7500 0.2331 Cl
0.7942 0.2500 0.7669 Cl
0.7500 0.7500 0.5001 Dy
0.2500 0.2500 0.4999 Dy
0.7223 0.2500 0.3362 F
0.2777 0.7500 0.6638 F
```


Computed, not measured: a relaxed DyClF crystal at the PBE level of DFT.

Relative energy among the computed polymorphs ... 80 meV per atom
Space-group type ... P3m1, No. 156
Final energy ... -5.33 eV per atom
Calculated density ... 6.89 g/cm³
Energy relative to the elements, uncorrected ... -2553 meV/atom

POSCAR file:
```
DyClF
1.0
-0.0670 1.5525 3.1391
-1.1673 -3.5807 1.7459
4.0329 0.9133 -0.3655
F Cl Dy
1 1 1
Direct
0.1775 0.3333 0.6667 F
0.6798 0.6667 0.3333 Cl
0.1427 0.0000 0.0000 Dy
```


Computed, not measured: a relaxed DyClF crystal at the PBE level of DFT.

Relative energy among the computed polymorphs ... 0 meV per atom
Space-group type ... P-1, No. 2
Final energy ... -5.41 eV per atom
Calculated density ... 4.39 g/cm³
Energy relative to the elements, uncorrected ... -2633 meV/atom

POSCAR file:
```
DyClF
1.0
-2.9471 -1.0011 1.7337
3.9890 -4.5531 4.1561
2.5710 0.5536 8.2574
Cl F Dy
2 2 2
Direct
0.6510 0.9688 0.7024 Cl
0.3490 0.0312 0.2976 Cl
0.1139 0.5244 0.7808 F
0.8861 0.4756 0.2192 F
0.7109 0.6621 0.5817 Dy
0.2891 0.3379 0.4183 Dy
```


Computed, not measured: a relaxed DyPaCl2F6 crystal at the PBE level of DFT.

Space-group type ... Fm-3m, No. 225
Final energy ... -6.14 eV per atom
Calculated density ... 5.63 g/cm³
Energy relative to the elements, uncorrected ... -3238 meV/atom

POSCAR file:
```
DyPaCl2F6
1.0
-4.8101 3.7921 -1.1214
-3.7133 -3.7248 3.3330
-3.3010 2.3270 4.7398
F Cl Dy Pa
6 2 1 1
Direct
0.7549 0.2451 0.0000 F
0.2451 0.2451 0.0000 F
0.7549 0.7549 0.0000 F
0.7549 0.7549 0.4901 F
0.2451 0.2451 0.5099 F
0.2451 0.7549 0.0000 F
0.2500 0.7500 0.5000 Cl
0.7500 0.2500 0.5000 Cl
0.5000 0.5000 0.0000 Dy
0.0000 0.0000 0.0000 Pa
```


Computed, not measured: a relaxed RbDy2Cl2F5 crystal at the PBE level of DFT.

Space-group type ... P4/mbm, No. 127
Final energy ... -5.59 eV per atom
Calculated density ... 5.63 g/cm³
Energy relative to the elements, uncorrected ... -3273 meV/atom

POSCAR file:
```
RbDy2Cl2F5
1.0
-2.9735 1.1339 -1.3924
2.3122 -4.4214 -8.5381
-4.5595 -8.2355 3.0299
F Rb Cl Dy
10 2 4 4
Direct
0.5000 0.7661 0.9214 F
0.5000 0.2661 0.5786 F
0.5000 0.0000 0.5000 F
0.5000 0.0786 0.7661 F
0.5000 0.9214 0.2339 F
0.5000 0.7339 0.4214 F
0.5000 0.4214 0.2661 F
0.5000 0.2339 0.0786 F
0.5000 0.5000 0.0000 F
0.5000 0.5786 0.7339 F
0.0000 0.0000 0.0000 Rb
0.0000 0.5000 0.5000 Rb
0.0000 0.1659 0.3341 Cl
0.0000 0.3341 0.8341 Cl
0.0000 0.8341 0.6659 Cl
0.0000 0.6659 0.1659 Cl
0.0000 0.8717 0.3717 Dy
0.0000 0.1283 0.6283 Dy
0.0000 0.6283 0.8717 Dy
0.0000 0.3717 0.1283 Dy
```